Density functional theory data (PBE) for a relaxed structure of ScBe2Re.

Summary:
**Energy of formation from the pure elements**: 5.37 kJ per mole of atoms
**ρ**: 7.71 g cm⁻³

a = 3.3834 Å, b = 3.5972 Å, c = 8.8204 Å
α = 90.00°, β = 90.00°, γ = 90.00°
Last column: nearest neighbours and their distance in Å.
Fractional coordinates of all 8 atoms:
Sc  0.0000  0.0000  0.0000  8 Be 2.57-2.87, 4 Re 2.75-2.88
Sc  0.5000  0.5000  0.5000  8 Be 2.57-2.87, 4 Re 2.75-2.88
Be  0.0000  0.0000  0.4175  2 Be 2.18, 2 Re 2.41
Be  0.0000  0.5000  0.7623  2 Be 2.18
Be  0.5000  0.0000  0.2623  2 Be 2.18
Be  0.5000  0.5000  0.9175  2 Be 2.18, 2 Re 2.41
Re  0.0000  0.5000  0.2359  6 Be 2.41-2.48
Re  0.5000  0.0000  0.7359  6 Be 2.41-2.48